## NdAl2ZnPt4 (PBE)

Data for a relaxed NdAl2ZnPt4 crystal.

Calculated values
**Electronic total energy**: -5.66 eV/atom
**Energy of formation**: -0.952 eV per atom
**Magnetic moment**: 0.0 Bohr magnetons per cell

Unit cell a=4.282 b=4.282 c=9.228 alpha=76.58 beta=76.58 gamma=60.00
Sites, in units of the cell vectors:
Zn (0.500, 0.500, 0.500)
Nd (0.000, 0.000, 0.000)
Al (0.762, 0.762, 0.714)
Al (0.238, 0.238, 0.286)
Pt (0.596, 0.596, 0.211)
Pt (0.404, 0.404, 0.789)
Pt (0.866, 0.866, 0.401)
Pt (0.134, 0.134, 0.599)